1.
A plane-wave DFT calculation with PBE was carried out for crystalline Tb3SmTm at its relaxed geometry.

a b c (Å): 9.605 5.667 6.292
angles (deg): 90.00 109.10 90.00
Fractional coordinates of all 10 atoms:
Tb 0.402 0.950 0.366
Sm 0.200 0.450 0.433
Tb 0.999 0.950 0.165
Tb 0.598 0.450 0.634
Sm 0.800 0.950 0.567
Tm 0.598 0.950 0.967
Tm 0.402 0.450 0.033
Tb 0.001 0.450 0.835
Tb 0.202 0.950 0.769
Tb 0.798 0.450 0.231


2.
A plane-wave DFT calculation with PBE was carried out for crystalline Tb3SmTm at its relaxed geometry.

a b c (Å): 6.561 10.087 10.087
angles (deg): 81.41 79.65 79.65
Fractional coordinates of all 20 atoms:
Tb 0.851 0.276 0.127
Tb 0.151 0.986 0.612
Sm 0.250 0.813 0.187
Tb 0.049 0.417 0.783
Tm 0.550 0.525 0.674
Sm 0.750 0.924 0.076
Tb 0.351 0.127 0.276
Tb 0.149 0.724 0.873
Tb 0.951 0.583 0.217
Tm 0.050 0.674 0.525
Tb 0.849 0.014 0.388
Tb 0.349 0.388 0.014
Tb 0.649 0.873 0.724
Tm 0.450 0.475 0.326
Tb 0.451 0.217 0.583
Tm 0.950 0.326 0.475
Tb 0.549 0.783 0.417
Sm 0.750 0.187 0.813
Sm 0.250 0.076 0.924
Tb 0.651 0.612 0.986


Going by the energies, 1 is most stable and the next is 0.033 eV/atom up.